A plane-wave DFT calculation with PBE was carried out for a relaxed structure of CoTc3S.

distance to the lowest polymorph of the same formula	814	meV per atom
formation energy (no corrections)	1611	meV per atom
E	-6.855	eV/atom
DOS at the Fermi energy	6.82	states/eV per cell

abc: 4.422 4.422 4.422
angles: 90.00 90.00 90.00
Each line ends with the local moment (μB).
Positions (direct):
Tc 0.000 0.000 0.500  0.50
Tc 0.000 0.500 0.000  0.61
Co 0.000 0.000 0.000  0.01
S 0.500 0.500 0.500  -0.02
Tc 0.500 0.000 0.000  0.54



A plane-wave DFT calculation with PBE was carried out for a relaxed structure of TbPmPr2Se4.

formation energy (no corrections)	-1823	meV per atom
E	-5.933	eV/atom
DOS at the Fermi energy	4.70	states/eV per cell

abc: 4.146 7.378 7.270
angles: 71.25 90.00 90.00
Positions (direct):
Se 0.500 0.737 0.259
Tb 0.000 0.500 0.500
Pr 0.500 0.000 0.500
Se 0.000 0.259 0.251
Pm 0.500 0.500 0.000
Pr 0.000 0.000 0.000
Se 0.500 0.263 0.741
Se 0.000 0.741 0.749



A plane-wave DFT calculation with PBE was carried out for a relaxed structure of SmDy2Er3Bi6.

energy relative to the elements	-846	meV/atom
E	-5.087	eV/atom
DOS at the Fermi energy	1.99	states/eV per cell

abc: 4.475 8.951 10.004
angles: 102.85 102.93 90.00
Positions (direct):
Bi 0.000 0.255 0.000
Dy 0.167 0.333 0.334
Dy 0.833 0.667 0.666
Bi 0.334 0.416 0.668
Er 0.166 0.833 0.332
Bi 0.331 0.917 0.662
Er 0.500 0.500 0.000
Bi 0.669 0.083 0.338
Er 0.834 0.167 0.668
Bi 0.000 0.745 0.000
Bi 0.666 0.584 0.332
Sm 0.500 0.000 0.000



A plane-wave DFT calculation with PBE was carried out for a relaxed structure of Dy6Y12Mg.

energy relative to the elements	128	meV/atom
distance to the lowest polymorph of the same formula	0	meV per atom
E	-5.492	eV/atom
DOS at the Fermi energy	31.81	states/eV per cell

abc: 8.507 8.507 8.507
angles: 88.51 88.51 88.51
Positions (direct):
Mg 0.000 0.000 0.000
Y 0.014 0.182 0.365
Y 0.818 0.635 0.986
Dy 0.261 0.097 0.708
Dy 0.903 0.292 0.739
Y 0.986 0.818 0.635
Y 0.461 0.565 0.219
Y 0.435 0.781 0.539
Y 0.182 0.365 0.014
Y 0.219 0.461 0.565
Y 0.781 0.539 0.435
Y 0.635 0.986 0.818
Dy 0.292 0.739 0.903
Y 0.365 0.014 0.182
Dy 0.097 0.708 0.261
Y 0.539 0.435 0.781
Dy 0.708 0.261 0.097
Dy 0.739 0.903 0.292
Y 0.565 0.219 0.461



A plane-wave DFT calculation with PBE was carried out for a relaxed structure of Er2Sc2Cd3.

energy relative to the elements	-133	meV/atom
E	-3.638	eV/atom
DOS at the Fermi energy	7.21	states/eV per cell

abc: 4.561 3.237 11.671
angles: 90.00 78.73 90.00
Each line ends with the local moment (μB).
Positions (direct):
Sc 0.708 0.500 0.584  0.06
Sc 0.292 0.500 0.416  0.06
Cd 0.846 0.000 0.309  0.00
Er 0.573 0.500 0.853  0.07
Cd 0.154 0.000 0.691  0.00
Er 0.427 0.500 0.147  0.07
Cd 0.000 0.000 0.000  0.00



A plane-wave DFT calculation with PBE was carried out for a relaxed structure of USn2Au.

energy relative to the elements	117	meV/atom
distance to the lowest polymorph of the same formula	284	meV per atom
E	-5.525	eV/atom
DOS at the Fermi energy	6.84	states/eV per cell

abc: 5.209 5.209 5.082
angles: 59.17 59.17 60.00
Each line ends with the local moment (μB).
Positions (direct):
Au 0.000 0.000 0.000  0.01
Sn 0.753 0.753 0.740  0.04
U 0.500 0.500 0.500  2.56
Sn 0.247 0.247 0.260  0.04



A plane-wave DFT calculation with PBE was carried out for a relaxed structure of MnTc2.

energy relative to the elements	803	meV/atom
distance to the lowest polymorph of the same formula	802	meV per atom
E	-9.164	eV/atom
DOS at the Fermi energy	15.19	states/eV per cell

abc: 5.663 5.663 5.663
angles: 90.00 90.00 90.00
Positions (direct):
Mn 0.000 0.000 0.000
Tc 0.874 0.374 0.126
Tc 0.626 0.874 0.126
Mn 0.500 0.500 0.000
Tc 0.874 0.126 0.626
Mn 0.500 0.000 0.500
Mn 0.000 0.500 0.500
Tc 0.126 0.874 0.374
Tc 0.126 0.626 0.874
Tc 0.374 0.126 0.874
Tc 0.374 0.374 0.374
Tc 0.626 0.626 0.626



A plane-wave DFT calculation with PBE was carried out for a relaxed structure of Hg3Os4.

energy relative to the elements	1537	meV/atom
distance to the lowest polymorph of the same formula	1060	meV per atom
E	-5.010	eV/atom
DOS at the Fermi energy	7.02	states/eV per cell

abc: 5.329 5.329 5.004
angles: 90.00 90.00 120.00
Each line ends with the local moment (μB).
Positions (direct):
Os 0.000 0.000 0.263  0.16
Os 0.000 0.000 0.737  0.16
Os 0.333 0.667 0.500  0.56
Os 0.667 0.333 0.500  0.56
Hg 0.000 0.500 0.000  0.00
Hg 0.500 0.500 0.000  0.00
Hg 0.500 0.000 0.000  0.00